# 1
The following is a GGA-PBE calculation of a geometry-optimized Cs2RbTe2Pd structure, from the Alexandria database.

a b c (Å): 8.9597 15.4598 7.6405
angles (deg): 90.00 90.00 90.00
With the nearest neighbours (Å) after each atom.
Space group Ibam (No. 72)
Symmetry-distinct sites (fractional):
Cs: 0.1891 0.1720 0.0000 x8  5 Te 3.66-4.08, 2 Pd 3.69
Rb: 0.0000 0.5000 0.2500 x4  4 Te 3.61, 2 Rb 3.82
Te: 0.1870 0.0790 0.5000 x8  2 Pd 2.82
Pd: 0.0000 0.0000 0.2500 x4  4 Te 2.82

For the uncorrected formation energy, the calculation gives -65.9 kJ per mole of atoms. The crystal system is orthorhombic. The calculated volume is 1058 Å³/cell.

# 2
The following is a GGA-PBE calculation of a geometry-optimized CaTb2NdSb4 structure, from the Alexandria database.

a b c (Å): 6.3105 6.3105 12.6251
angles (deg): 90.00 90.00 90.00
With the nearest neighbours (Å) after each atom.
Space group I4/mmm (No. 139)
Symmetry-distinct sites (fractional):
Ca: 0.0000 0.0000 0.0000 x2  6 Sb 3.16-3.17
Tb: 0.0000 0.5000 0.2500 x4  6 Sb 3.16
Nd: 0.0000 0.0000 0.5000 x2  6 Sb 3.14-3.16
Sb: 0.0000 0.0000 0.2511 x4  1 Nd 3.14, 4 Tb 3.16, 1 Ca 3.17
Sb: 0.0000 0.5000 0.0000 x4  2 Nd 3.16, 2 Ca 3.16, 2 Tb 3.16

For the uncorrected formation energy, the calculation gives -100.5 kJ per mole of atoms. The crystal system is tetragonal. The calculated volume is 503 Å³/cell.

# 3
The following is a GGA-PBE calculation of a geometry-optimized CeFe4Re structure, from the Alexandria database.

a b c (Å): 6.9992 6.9992 6.9992
angles (deg): 90.00 90.00 90.00
With the nearest neighbours (Å) after each atom.
Space group F-43m (No. 216)
Symmetry-distinct sites (fractional):
Ce: 0.0000 0.0000 0.0000 x4  12 Fe 2.91, 4 Re 3.03
Fe: 0.1234 0.1234 0.6234 x16  6 Fe 2.44-2.51
Re: 0.2500 0.2500 0.2500 x4  12 Fe 2.90, 4 Ce 3.03

The crystal system is cubic. The calculated volume is 343 Å³/cell. The value obtained for the formation energy is 203 meV per atom.

# 4
The following is a GGA-PBE calculation of a geometry-optimized ScHg2Os structure, from the Alexandria database.

a b c (Å): 5.6795 10.1250 3.2677
angles (deg): 90.00 122.98 90.00
With the nearest neighbours (Å) after each atom.
Space group C2/m (No. 12)
Symmetry-distinct sites (fractional):
Sc: 0.0000 0.0000 0.0000 x2  4 Os 2.84-2.94, 4 Hg 2.93
Hg: 0.2500 0.2500 0.5000 x4  4 Hg 2.84-2.94, 2 Sc 2.93, 2 Os 2.93
Os: 0.0000 0.5000 0.0000 x2  4 Sc 2.84-2.94, 4 Hg 2.93

The crystal system is monoclinic. The calculated volume is 158 Å³/cell. The value obtained for the formation energy is 306 meV per atom. The distance to the lowest polymorph of the same formula comes out at 0.217 eV per atom.

# 5
The following is a GGA-PBE calculation of a geometry-optimized Sr2TlPb structure, from the Alexandria database.

a b c (Å): 3.8343 6.7004 13.4885
angles (deg): 90.00 90.00 90.00
With the nearest neighbours (Å) after each atom.
Space group Immm (No. 71)
Symmetry-distinct sites (fractional):
Sr: 0.0000 0.0000 0.2478 x4  1 Tl 3.34, 1 Pb 3.40
Tl: 0.0000 0.0000 0.0000 x2  2 Sr 3.34
Pb: 0.0000 0.0000 0.5000 x2  2 Sr 3.40

The crystal system is orthorhombic. The calculated volume is 347 Å³/cell. The value obtained for the formation energy is 155 meV per atom.

# 6
The following is a GGA-PBE calculation of a geometry-optimized BaPmSiN3 structure, from the Alexandria database.

a b c (Å): 12.9424 3.8796 7.8484
angles (deg): 90.00 106.82 90.00
With the nearest neighbours (Å) after each atom.
Space group C2/m (No. 12)
Symmetry-distinct sites (fractional):
Ba: 0.1439 0.0000 0.0719 x4  7 N 2.68-2.96
Pm: 0.1507 0.0000 0.5737 x4  7 N 2.45-2.61
Si: 0.0034 0.5000 0.2827 x4  4 N 1.79-1.94
N: 0.0038 0.0000 0.2951 x4  2 Si 1.94
N: 0.1407 0.5000 0.7886 x4  1 Si 1.79
N: 0.1490 0.5000 0.3497 x4  1 Si 1.80

For the uncorrected formation energy, the calculation gives -75.3 kJ per mole of atoms. The crystal system is monoclinic. The calculated volume is 377 Å³/cell.

# 7
The following is a GGA-PBE calculation of a geometry-optimized Ac4P2SO2 structure, from the Alexandria database.

a b c (Å): 15.6950 4.1222 7.6506
angles (deg): 90.00 112.83 90.00
With the nearest neighbours (Å) after each atom.
Space group C2/m (No. 12)
Symmetry-distinct sites (fractional):
Ac: 0.0213 0.0000 0.2354 x4  1 O 2.45
Ac: 0.2220 0.5000 0.6975 x4  3 O 2.52-2.55
P: 0.1258 0.5000 0.0419 x4  7 Ac 3.20-3.51
S: 0.0000 0.5000 0.5000 x2  6 Ac 3.00-3.22
O: 0.1751 0.0000 0.4916 x4  4 Ac 2.45-2.55

For the uncorrected formation energy, the calculation gives -216.0 kJ per mole of atoms. The crystal system is monoclinic. The calculated volume is 456 Å³/cell.

# 8
The following is a GGA-PBE calculation of a geometry-optimized HgC2F structure, from the Alexandria database.

a b c (Å): 5.6670 5.6670 5.6670
angles (deg): 90.00 90.00 90.00
With the nearest neighbours (Å) after each atom.
Space group Fm-3m (No. 225)
Symmetry-distinct sites (fractional):
Hg: 0.0000 0.0000 0.0000 x4  8 C 2.45
C: 0.2500 0.2500 0.2500 x8  4 Hg 2.45, 4 F 2.45
F: 0.0000 0.0000 0.5000 x4  8 C 2.45

For the uncorrected formation energy, the calculation gives 228.3 kJ per mole of atoms. The crystal system is cubic. The calculated volume is 182 Å³/cell. The distance to the lowest polymorph of the same formula comes out at 1.168 eV per atom.

# 9
The following is a GGA-PBE calculation of a geometry-optimized FeS structure, from the Alexandria database.

a b c (Å): 5.8592 5.8592 10.4701
angles (deg): 90.00 90.00 120.00
With the nearest neighbours (Å) after each atom.
Space group P-62c (No. 190)
Symmetry-distinct sites (fractional):
Fe: 0.0705 0.4075 0.1145 x12  4 S 2.19-2.33
S: 0.0000 0.0000 0.0000 x2  6 Fe 2.51
S: 0.0278 0.6758 0.2500 x6  4 Fe 2.19-2.22
S: 0.3333 0.6667 0.5373 x4  6 Fe 2.21-2.33

For the uncorrected formation energy, the calculation gives -26.2 kJ per mole of atoms. The crystal system is hexagonal. The calculated volume is 311 Å³/cell.

# 10
The following is a GGA-PBE calculation of a geometry-optimized HfPaPt structure, from the Alexandria database.

a b c (Å): 4.6654 4.6654 3.5703
angles (deg): 90.00 90.00 120.00
With the nearest neighbours (Å) after each atom.
Space group P3m1 (No. 156)
Symmetry-distinct sites (fractional):
Hf: 0.0000 0.0000 0.0000 x1  3 Pt 2.71
Pa: 0.3333 0.6667 0.4811 x1  6 Pt 3.10-3.38, 6 Hf 3.19-3.27
Pt: 0.6667 0.3333 0.9111 x1  3 Hf 2.71

The crystal system is trigonal. The calculated volume is 67 Å³/cell. The value obtained for the formation energy is -309 meV per atom. The distance to the lowest polymorph of the same formula comes out at 0.258 eV per atom.

# 11
The following is a GGA-PBE calculation of a geometry-optimized Pr4PSe2I structure, from the Alexandria database.

a b c (Å): 7.3934 4.2969 7.6856
angles (deg): 90.00 109.04 90.00
With the nearest neighbours (Å) after each atom.
Space group P2/m (No. 10)
Symmetry-distinct sites (fractional):
Pr: 0.2341 0.0000 0.2085 x2  2 Se 2.89, 1 P 2.91
Pr: 0.2572 0.5000 0.7836 x2  3 Se 2.91-3.21, 2 P 2.94, 1 I 3.24
P: 0.5000 0.0000 0.0000 x1  6 Pr 2.91-2.94
Se: 0.0000 0.0000 0.5000 x1  6 Pr 3.21-3.25
Se: 0.0000 0.5000 0.0000 x1  6 Pr 2.89-2.91
I: 0.5000 0.5000 0.5000 x1  6 Pr 3.24-3.26

For the uncorrected formation energy, the calculation gives -148.8 kJ per mole of atoms. The crystal system is monoclinic. The calculated volume is 231 Å³/cell.

# 12
The following is a GGA-PBE calculation of a geometry-optimized LaSc2 structure, from the Alexandria database.

a b c (Å): 6.9725 6.9725 6.9725
angles (deg): 90.00 90.00 90.00
With the nearest neighbours (Å) after each atom.
Space group Pa-3 (No. 205)
Symmetry-distinct sites (fractional):
La: 0.0000 0.0000 0.0000 x4  6 Sc 2.86
Sc: 0.1421 0.6421 0.8579 x8  3 La 2.86

The crystal system is cubic. The calculated volume is 339 Å³/cell. The value obtained for the formation energy is 864 meV per atom. The distance to the lowest polymorph of the same formula comes out at 0.803 eV per atom.

Calculated total magnetic moment (μB/cell), listed in the same order as above: 0.00 0.00 34.38 0.50 0.00 0.00 0.00 0.00 8.97 0.00 0.00 1.39